Entry 1:
## CsUAuS4 (PBE)

Data for crystalline CsUAuS4 at its relaxed geometry.

## Properties
Fermi-level density of states in states/eV per atom: 0.29
Symmetry: P2_1/m (11)

Unit cell a=6.542 b=6.825 c=8.882 alpha=90.00 beta=94.79 gamma=90.00
Element x y z (fractional)
Cs (0.221, 0.250, 0.042)
Cs (0.779, 0.750, 0.958)
U (0.180, 0.750, 0.456)
U (0.820, 0.250, 0.544)
Au (0.328, 0.250, 0.624)
Au (0.672, 0.750, 0.376)
S (0.075, 0.511, 0.682)
S (0.075, 0.989, 0.682)
S (0.345, 0.750, 0.207)
S (0.482, 0.250, 0.387)
S (0.518, 0.750, 0.613)
S (0.655, 0.250, 0.793)
S (0.925, 0.011, 0.318)
S (0.925, 0.489, 0.318)


Entry 2:
## Cs2VAuS4 (PBE)

Data for crystalline Cs2VAuS4 at its relaxed geometry.

## Properties
Symmetry: Fddd (70)

Unit cell a=14.231 b=12.611 c=7.739 alpha=85.18 beta=62.01 gamma=32.81
Element x y z (fractional)
Cs (0.051, 0.051, 0.699)
Cs (0.301, 0.301, 0.949)
Cs (0.699, 0.699, 0.051)
Cs (0.949, 0.949, 0.301)
V (0.375, 0.375, 0.375)
V (0.625, 0.625, 0.625)
Au (0.125, 0.125, 0.125)
Au (0.875, 0.875, 0.875)
S (0.023, 0.622, 0.544)
S (0.312, 0.544, 0.622)
S (0.378, 0.977, 0.688)
S (0.456, 0.688, 0.977)
S (0.544, 0.312, 0.023)
S (0.622, 0.023, 0.312)
S (0.688, 0.456, 0.378)
S (0.977, 0.378, 0.456)


Entry 3:
## CsY2AuS4 (PBE)

Data for crystalline CsY2AuS4 at its relaxed geometry.

## Properties
Symmetry: Cmcm (63)

Unit cell a=7.391 b=7.391 c=14.225 alpha=90.00 beta=90.00 gamma=147.82
Element x y z (fractional)
Cs (0.116, 0.884, 0.750)
Cs (0.884, 0.116, 0.250)
Y (0.369, 0.631, 0.565)
Y (0.369, 0.631, 0.935)
Y (0.631, 0.369, 0.065)
Y (0.631, 0.369, 0.435)
Au (0.162, 0.838, 0.250)
Au (0.838, 0.162, 0.750)
S (0.000, 0.000, 0.000)
S (0.000, 0.000, 0.500)
S (0.254, 0.746, 0.097)
S (0.254, 0.746, 0.403)
S (0.436, 0.564, 0.750)
S (0.564, 0.436, 0.250)
S (0.746, 0.254, 0.597)
S (0.746, 0.254, 0.903)


Entry 4:
## CsYAuS2 (PBE)

Data for crystalline CsYAuS2 at its relaxed geometry.

## Properties
Fermi-level density of states in states/eV per atom: 0.65
Symmetry: P2/c (13)

Unit cell a=7.991 b=5.121 c=7.745 alpha=90.00 beta=100.51 gamma=90.00
Element x y z (fractional)
Cs (0.000, 0.158, 0.250)
Cs (0.000, 0.842, 0.750)
Y (0.500, 0.494, 0.750)
Y (0.500, 0.506, 0.250)
Au (0.500, 0.000, 0.000)
Au (0.500, 0.000, 0.500)
S (0.281, 0.341, 0.961)
S (0.281, 0.659, 0.461)
S (0.719, 0.341, 0.539)
S (0.719, 0.659, 0.039)


Entry 5:
## Cs2SbAu (PBE)

Data for crystalline Cs2SbAu at its relaxed geometry.

## Properties
Fermi-level density of states in states/eV per atom: 1.28
Symmetry: Fm-3m (225)

Unit cell a=6.403 b=6.403 c=6.403 alpha=60.00 beta=60.00 gamma=60.00
Element x y z (fractional)
Cs (0.250, 0.250, 0.250)
Cs (0.750, 0.750, 0.750)
Sb (0.000, 0.000, 0.000)
Au (0.500, 0.500, 0.500)


Entry 6:
## CsSb2Au (PBE)

Data for crystalline CsSb2Au at its relaxed geometry.

## Properties
Fermi-level density of states in states/eV per atom: 0.32
Symmetry: R-3m (166)

Unit cell a=8.448 b=8.448 c=8.448 alpha=30.90 beta=30.90 gamma=30.90
Element x y z (fractional)
Cs (0.000, 0.000, 0.000)
Sb (0.214, 0.214, 0.214)
Sb (0.786, 0.786, 0.786)
Au (0.500, 0.500, 0.500)


Entry 7:
## CsSb2Au6 (PBE)

Data for crystalline CsSb2Au6 at its relaxed geometry.

## Properties
Fermi-level density of states in states/eV per atom: 0.36
Symmetry: P4/mmm (123)

Unit cell a=4.886 b=4.886 c=9.776 alpha=90.00 beta=90.00 gamma=90.00
Element x y z (fractional)
Cs (0.000, 0.000, 0.000)
Sb (0.500, 0.500, 0.203)
Sb (0.500, 0.500, 0.797)
Au (0.000, 0.000, 0.500)
Au (0.000, 0.500, 0.336)
Au (0.000, 0.500, 0.664)
Au (0.500, 0.000, 0.336)
Au (0.500, 0.000, 0.664)
Au (0.500, 0.500, 0.500)


Entry 8:
## Cs6SbAu3 (PBE)

Data for crystalline Cs6SbAu3 at its relaxed geometry.

## Properties
Symmetry: P2_1/m (11)

Unit cell a=11.658 b=6.226 c=14.099 alpha=90.00 beta=107.62 gamma=90.00
Element x y z (fractional)
Cs (0.018, 0.250, 0.399)
Cs (0.101, 0.750, 0.150)
Cs (0.282, 0.250, 0.971)
Cs (0.338, 0.250, 0.282)
Cs (0.356, 0.750, 0.833)
Cs (0.392, 0.250, 0.598)
Cs (0.608, 0.750, 0.402)
Cs (0.644, 0.250, 0.167)
Cs (0.662, 0.750, 0.718)
Cs (0.718, 0.750, 0.029)
Cs (0.899, 0.250, 0.850)
Cs (0.982, 0.750, 0.601)
Sb (0.423, 0.750, 0.139)
Sb (0.577, 0.250, 0.861)
Au (0.040, 0.750, 0.868)
Au (0.130, 0.250, 0.686)
Au (0.289, 0.750, 0.449)
Au (0.711, 0.250, 0.551)
Au (0.870, 0.750, 0.314)
Au (0.960, 0.250, 0.132)


Entry 9:
## CsSbAu2 (PBE)

Data for crystalline CsSbAu2 at its relaxed geometry.

## Properties
Fermi-level density of states in states/eV per atom: 0.34
Symmetry: R-3m (166)

Unit cell a=7.128 b=7.128 c=7.128 alpha=40.25 beta=40.25 gamma=40.25
Element x y z (fractional)
Cs (0.000, 0.000, 0.000)
Sb (0.500, 0.500, 0.500)
Au (0.189, 0.189, 0.189)
Au (0.811, 0.811, 0.811)


Entry 10:
## CsSbAu3 (PBE)

Data for crystalline CsSbAu3 at its relaxed geometry.

## Properties
Fermi-level density of states in states/eV per atom: 0.30
Symmetry: P2_1/c (14)

Unit cell a=8.549 b=7.959 c=9.872 alpha=90.00 beta=104.17 gamma=90.00
Element x y z (fractional)
Cs (0.245, 0.173, 0.479)
Cs (0.245, 0.327, 0.979)
Cs (0.755, 0.673, 0.021)
Cs (0.755, 0.827, 0.521)
Sb (0.315, 0.684, 0.619)
Sb (0.315, 0.816, 0.119)
Sb (0.685, 0.184, 0.881)
Sb (0.685, 0.316, 0.381)
Au (0.049, 0.517, 0.653)
Au (0.049, 0.983, 0.153)
Au (0.188, 0.705, 0.337)
Au (0.188, 0.795, 0.837)
Au (0.473, 0.558, 0.286)
Au (0.473, 0.942, 0.786)
Au (0.527, 0.058, 0.214)
Au (0.527, 0.442, 0.714)
Au (0.812, 0.205, 0.163)
Au (0.812, 0.295, 0.663)
Au (0.951, 0.017, 0.847)
Au (0.951, 0.483, 0.347)


Entry 11:
## CsSbAu3 (PBE)

Data for crystalline CsSbAu3 at its relaxed geometry.

## Properties
Fermi-level density of states in states/eV per atom: 0.04
Symmetry: C2/c (15)

Unit cell a=9.752 b=9.752 c=6.936 alpha=110.66 beta=110.66 gamma=74.10
Element x y z (fractional)
Cs (0.001, 0.999, 0.750)
Cs (0.372, 0.628, 0.750)
Cs (0.628, 0.372, 0.250)
Cs (0.999, 0.001, 0.250)
Sb (0.170, 0.601, 0.136)
Sb (0.399, 0.830, 0.364)
Sb (0.601, 0.170, 0.636)
Sb (0.830, 0.399, 0.864)
Au (0.028, 0.340, 0.230)
Au (0.028, 0.340, 0.635)
Au (0.260, 0.296, 0.026)
Au (0.296, 0.260, 0.526)
Au (0.340, 0.028, 0.135)
Au (0.340, 0.028, 0.730)
Au (0.660, 0.972, 0.270)
Au (0.660, 0.972, 0.865)
Au (0.704, 0.740, 0.474)
Au (0.740, 0.704, 0.974)
Au (0.972, 0.660, 0.365)
Au (0.972, 0.660, 0.770)


Entry 12:
## CsSbAu3 (PBE)

Data for crystalline CsSbAu3 at its relaxed geometry.

## Properties
Fermi-level density of states in states/eV per atom: 0.11
Symmetry: P1 (1)

Unit cell a=6.058 b=7.051 c=8.108 alpha=101.83 beta=90.82 gamma=114.17
Element x y z (fractional)
Cs (0.000, 0.000, 0.000)
Cs (0.027, 0.010, 0.479)
Sb (0.327, 0.654, 0.128)
Sb (0.367, 0.633, 0.652)
Au (0.038, 0.493, 0.364)
Au (0.529, 0.441, 0.903)
Au (0.565, 0.063, 0.737)
Au (0.587, 0.458, 0.249)
Au (0.678, 0.427, 0.574)
Au (0.995, 0.460, 0.846)


Entry 13:
## CsSbAu3 (PBE)

Data for crystalline CsSbAu3 at its relaxed geometry.

## Properties
Fermi-level density of states in states/eV per atom: 0.41
Symmetry: Fd-3m (227)

Unit cell a=10.504 b=10.504 c=10.504 alpha=60.00 beta=60.00 gamma=60.00
Element x y z (fractional)
Cs (0.000, 0.000, 0.000)
Cs (0.000, 0.000, 0.500)
Cs (0.000, 0.500, 0.000)
Cs (0.500, 0.000, 0.000)
Sb (0.000, 0.500, 0.500)
Sb (0.500, 0.000, 0.500)
Sb (0.500, 0.500, 0.000)
Sb (0.500, 0.500, 0.500)
Au (0.212, 0.212, 0.538)
Au (0.212, 0.538, 0.212)
Au (0.212, 0.538, 0.538)
Au (0.462, 0.462, 0.788)
Au (0.462, 0.788, 0.462)
Au (0.462, 0.788, 0.788)
Au (0.538, 0.212, 0.212)
Au (0.538, 0.212, 0.538)
Au (0.538, 0.538, 0.212)
Au (0.788, 0.462, 0.462)
Au (0.788, 0.462, 0.788)
Au (0.788, 0.788, 0.462)


Entry 14:
## CsSbAu3 (PBE)

Data for crystalline CsSbAu3 at its relaxed geometry.

## Properties
Fermi-level density of states in states/eV per atom: 0.66
Symmetry: R3m (160)

Unit cell a=5.366 b=5.366 c=5.366 alpha=84.66 beta=84.66 gamma=84.66
Element x y z (fractional)
Cs (0.000, 0.000, 0.000)
Sb (0.600, 0.600, 0.600)
Au (0.091, 0.482, 0.482)
Au (0.482, 0.091, 0.482)
Au (0.482, 0.482, 0.091)


Entry 15:
## CsSb4Au4 (PBE)

Data for crystalline CsSb4Au4 at its relaxed geometry.

## Properties
Fermi-level density of states in states/eV per atom: 0.49
Symmetry: P4_2/n (86)

Unit cell a=9.576 b=9.576 c=5.642 alpha=90.00 beta=90.00 gamma=90.00
Element x y z (fractional)
Cs (0.250, 0.250, 0.250)
Cs (0.750, 0.750, 0.750)
Sb (0.111, 0.887, 0.660)
Sb (0.113, 0.611, 0.160)
Sb (0.387, 0.889, 0.160)
Sb (0.389, 0.613, 0.660)
Sb (0.611, 0.387, 0.340)
Sb (0.613, 0.111, 0.840)
Sb (0.887, 0.389, 0.840)
Sb (0.889, 0.113, 0.340)
Au (0.041, 0.888, 0.166)
Au (0.112, 0.541, 0.666)
Au (0.388, 0.959, 0.666)
Au (0.459, 0.612, 0.166)
Au (0.541, 0.388, 0.834)
Au (0.612, 0.041, 0.334)
Au (0.888, 0.459, 0.334)
Au (0.959, 0.112, 0.834)


Entry 16:
## Cs3Sb2Au (PBE)

Data for crystalline Cs3Sb2Au at its relaxed geometry.

## Properties
Fermi-level density of states in states/eV per atom: 0.72
Symmetry: C2/c (15)

Unit cell a=8.054 b=8.054 c=10.902 alpha=108.44 beta=108.44 gamma=81.63
Element x y z (fractional)
Cs (0.149, 0.851, 0.750)
Cs (0.257, 0.361, 0.020)
Cs (0.361, 0.257, 0.520)
Cs (0.639, 0.743, 0.480)
Cs (0.743, 0.639, 0.980)
Cs (0.851, 0.149, 0.250)
Sb (0.058, 0.622, 0.348)
Sb (0.378, 0.942, 0.152)
Sb (0.622, 0.058, 0.848)
Sb (0.942, 0.378, 0.652)
Au (0.206, 0.794, 0.250)
Au (0.794, 0.206, 0.750)


Entry 17:
## CsSbAu3 (PBE)

Data for crystalline CsSbAu3 at its relaxed geometry.

## Properties
Fermi-level density of states in states/eV per atom: 0.00
Symmetry: R-3 (148)

Unit cell a=11.584 b=11.584 c=11.584 alpha=28.47 beta=28.47 gamma=28.47
Element x y z (fractional)
Cs (0.127, 0.127, 0.127)
Cs (0.873, 0.873, 0.873)
Sb (0.406, 0.406, 0.406)
Sb (0.594, 0.594, 0.594)
Au (0.047, 0.627, 0.225)
Au (0.225, 0.047, 0.627)
Au (0.373, 0.775, 0.953)
Au (0.627, 0.225, 0.047)
Au (0.775, 0.953, 0.373)
Au (0.953, 0.373, 0.775)


Entry 18:
## Cs3Sb4Au2 (PBE)

Data for crystalline Cs3Sb4Au2 at its relaxed geometry.

## Properties
Fermi-level density of states in states/eV per atom: 0.33
Symmetry: C2/m (12)

Unit cell a=7.547 b=7.547 c=10.960 alpha=99.74 beta=99.74 gamma=35.81
Element x y z (fractional)
Cs (0.000, 0.000, 0.000)
Cs (0.375, 0.375, 0.610)
Cs (0.625, 0.625, 0.390)
Sb (0.100, 0.100, 0.672)
Sb (0.264, 0.264, 0.913)
Sb (0.736, 0.736, 0.087)
Sb (0.900, 0.900, 0.328)
Au (0.340, 0.340, 0.204)
Au (0.660, 0.660, 0.796)


Entry 19:
## Cs12SbAu5 (PBE)

Data for crystalline Cs12SbAu5 at its relaxed geometry.

## Properties
Fermi-level density of states in states/eV per atom: 0.83
Symmetry: C2/m (12)

Unit cell a=9.344 b=9.344 c=17.150 alpha=90.27 beta=90.27 gamma=121.07
Element x y z (fractional)
Cs (0.005, 0.671, 0.611)
Cs (0.161, 0.161, 0.111)
Cs (0.164, 0.501, 0.888)
Cs (0.329, 0.995, 0.389)
Cs (0.336, 0.336, 0.613)
Cs (0.499, 0.836, 0.112)
Cs (0.501, 0.164, 0.888)
Cs (0.664, 0.664, 0.387)
Cs (0.671, 0.005, 0.611)
Cs (0.836, 0.499, 0.112)
Cs (0.839, 0.839, 0.889)
Cs (0.995, 0.329, 0.389)
Sb (0.500, 0.500, 0.000)
Au (0.000, 0.000, 0.500)
Au (0.167, 0.833, 0.000)
Au (0.336, 0.664, 0.500)
Au (0.664, 0.336, 0.500)
Au (0.833, 0.167, 0.000)


Entry 20:
## CsSbAu3 (PBE)

Data for crystalline CsSbAu3 at its relaxed geometry.

## Properties
Fermi-level density of states in states/eV per atom: 0.00
Symmetry: P1 (1)

Unit cell a=7.057 b=7.064 c=8.129 alpha=96.92 beta=109.42 gamma=118.39
Element x y z (fractional)
Cs (0.000, 0.000, 0.000)
Cs (0.055, 0.582, 0.638)
Sb (0.601, 0.879, 0.482)
Sb (0.677, 0.333, 0.010)
Au (0.027, 0.064, 0.466)
Au (0.156, 0.595, 0.172)
Au (0.401, 0.439, 0.466)
Au (0.485, 0.153, 0.638)
Au (0.576, 0.596, 0.172)
Au (0.577, 0.016, 0.172)


| no. | calculated total energy (eV/atom) | ρ (Mg/m³) |
| --- | --- | --- |
| 1 | -5.46 | 5.85 |
| 2 | -4.78 | 4.22 |
| 3 | -5.71 | 5.10 |
| 4 | -4.94 | 5.15 |
| 5 | -2.28 | 5.23 |
| 6 | -3.27 | 6.75 |
| 7 | -3.33 | 11.09 |
| 8 | -2.22 | 5.14 |
| 9 | -3.16 | 7.90 |
| 10 | -3.18 | 8.62 |
| 11 | -3.15 | 9.87 |
| 12 | -3.19 | 9.14 |
| 13 | -2.96 | 6.85 |
| 14 | -3.16 | 9.20 |
| 15 | -3.54 | 9.04 |
| 16 | -2.66 | 4.38 |
| 17 | -3.10 | 9.00 |
| 18 | -3.17 | 5.91 |
| 19 | -1.95 | 3.50 |
| 20 | -3.23 | 8.87 |